No. 1
# CoAu3N (PBE, optimized geometry)
# Calculated volume ... 106 Å³/cell
# Crystal system ... cubic
# Energy above the most stable polymorph in this dataset ... 982.1 meV/atom
# D(E_F) ... 10.02 states/eV/f.u.
data_CoAu3N
_chemical_formula_sum 'Co1 Au3 N1'
_cell_length_a 4.728
_cell_length_b 4.728
_cell_length_c 4.728
_cell_angle_alpha 90.00
_cell_angle_beta 90.00
_cell_angle_gamma 90.00
_space_group_name_H-M_alt 'P 1'
_space_group_IT_number 1
_space_group_name_Hall 'P 1'
loop_
_atom_site_label
_atom_site_fract_x
_atom_site_fract_y
_atom_site_fract_z
Co1 0.000 0.000 0.000
Au1 0.000 0.000 0.500
Au2 0.000 0.500 0.000
Au3 0.500 0.000 0.000
N1 0.500 0.500 0.500

=====

No. 2
# Ca2Ac5Si2 (PBE, optimized geometry)
# Calculated volume ... 695 Å³/cell
# Crystal system ... orthorhombic
# Uncorrected energy ... -74.50 eV/cell
# D(E_F) ... 13.47 states/eV/f.u.
data_Ca2Ac5Si2
_chemical_formula_sum 'Ca4 Ac10 Si4'
_cell_length_a 11.406
_cell_length_b 11.406
_cell_length_c 8.076
_cell_angle_alpha 90.00
_cell_angle_beta 90.00
_cell_angle_gamma 41.41
_space_group_name_H-M_alt 'P 1'
_space_group_IT_number 1
_space_group_name_Hall 'P 1'
loop_
_atom_site_label
_atom_site_fract_x
_atom_site_fract_y
_atom_site_fract_z
Ca1 0.233 0.233 0.000
Ca2 0.267 0.267 0.500
Ca3 0.733 0.733 0.500
Ca4 0.767 0.767 0.000
Ac1 0.000 0.000 0.000
Ac2 0.074 0.712 0.679
Ac3 0.212 0.574 0.179
Ac4 0.288 0.926 0.679
Ac5 0.426 0.788 0.179
Ac6 0.500 0.500 0.500
Ac7 0.574 0.212 0.821
Ac8 0.712 0.074 0.321
Ac9 0.788 0.426 0.821
Ac10 0.926 0.288 0.321
Si1 0.107 0.893 0.391
Si2 0.393 0.607 0.891
Si3 0.607 0.393 0.109
Si4 0.893 0.107 0.609

=====

No. 3
# CdTcP2 (PBE, optimized geometry)
# Calculated volume ... 74 Å³/cell
# Crystal system ... monoclinic
# Uncorrected energy ... -22.51 eV/cell
# D(E_F) ... 1.79 states/eV/f.u.
data_CdTcP2
_chemical_formula_sum 'Cd1 Tc1 P2'
_cell_length_a 4.298
_cell_length_b 4.298
_cell_length_c 6.359
_cell_angle_alpha 108.59
_cell_angle_beta 108.59
_cell_angle_gamma 41.87
_space_group_name_H-M_alt 'P 1'
_space_group_IT_number 1
_space_group_name_Hall 'P 1'
loop_
_atom_site_label
_atom_site_fract_x
_atom_site_fract_y
_atom_site_fract_z
Cd1 0.000 0.000 0.000
Tc1 0.640 0.640 0.438
P1 0.198 0.198 0.739
P2 0.337 0.337 0.378